Record 1
# LiZrAlGa PBE relaxed
data_LiZrAlGa
_cell_length_a 4.042
_cell_length_b 4.092
_cell_length_c 4.149
_cell_angle_alpha 90.00
_cell_angle_beta 90.00
_cell_angle_gamma 90.00
_space_group_name_H-M_alt 'P 1'
_space_group_IT_number 1
loop_
_space_group_symop_operation_xyz
'x,y,z'
loop_
_atom_site_label
_atom_site_fract_x
_atom_site_fract_y
_atom_site_fract_z
Li1 0.000 0.000 0.000
Zr1 0.000 0.500 0.500
Al1 0.500 0.500 0.000
Ga1 0.500 0.000 0.500
# Calculated density in g cm⁻³: 4.72
# Final energy in eV per atom: -4.7276


Record 2
# LiTePt2 PBE relaxed
data_LiTePt2
_cell_length_a 5.648
_cell_length_b 5.648
_cell_length_c 2.973
_cell_angle_alpha 105.00
_cell_angle_beta 105.00
_cell_angle_gamma 120.52
_space_group_name_H-M_alt 'P 1'
_space_group_IT_number 1
loop_
_space_group_symop_operation_xyz
'x,y,z'
loop_
_atom_site_label
_atom_site_fract_x
_atom_site_fract_y
_atom_site_fract_z
Li1 0.000 0.000 0.000
Te1 0.500 0.500 0.000
Pt1 0.000 0.500 0.000
Pt2 0.500 0.000 0.000
# Raw formation energy in eV per atom: -0.254
# Calculated density in g cm⁻³: 12.50
# Final energy in eV per atom: -4.5378


Record 3
# PrGa6Ru2 PBE relaxed
data_PrGa6Ru2
_cell_length_a 4.951
_cell_length_b 4.951
_cell_length_c 9.163
_cell_angle_alpha 90.00
_cell_angle_beta 90.00
_cell_angle_gamma 120.00
_space_group_name_H-M_alt 'P 1'
_space_group_IT_number 1
loop_
_space_group_symop_operation_xyz
'x,y,z'
loop_
_atom_site_label
_atom_site_fract_x
_atom_site_fract_y
_atom_site_fract_z
Pr1 0.000 0.000 0.000
Ga1 0.000 0.337 0.713
Ga2 0.000 0.663 0.287
Ga3 0.337 0.000 0.713
Ga4 0.337 0.337 0.287
Ga5 0.663 0.000 0.287
Ga6 0.663 0.663 0.713
Ru1 0.333 0.667 0.500
Ru2 0.667 0.333 0.500
# Calculated density in g cm⁻³: 6.50
# Final energy in eV per atom: -4.6459


Record 4
# AcAg4Sn12 PBE relaxed
data_AcAg4Sn12
_cell_length_a 8.450
_cell_length_b 8.450
_cell_length_c 8.450
_cell_angle_alpha 109.47
_cell_angle_beta 109.47
_cell_angle_gamma 109.47
_space_group_name_H-M_alt 'P 1'
_space_group_IT_number 1
loop_
_space_group_symop_operation_xyz
'x,y,z'
loop_
_atom_site_label
_atom_site_fract_x
_atom_site_fract_y
_atom_site_fract_z
Ac1 0.000 0.000 0.000
Ag1 0.000 0.000 0.500
Ag2 0.000 0.500 0.000
Ag3 0.500 0.000 0.000
Ag4 0.500 0.500 0.500
Sn1 0.156 0.349 0.506
Sn2 0.156 0.651 0.807
Sn3 0.193 0.844 0.349
Sn4 0.349 0.193 0.844
Sn5 0.349 0.506 0.156
Sn6 0.494 0.844 0.651
Sn7 0.506 0.156 0.349
Sn8 0.651 0.494 0.844
Sn9 0.651 0.807 0.156
Sn10 0.807 0.156 0.651
Sn11 0.844 0.349 0.193
Sn12 0.844 0.651 0.494
# Calculated density in g cm⁻³: 7.45
# Final energy in eV per atom: -3.7790


Record 5
# Lu2MgAs PBE relaxed
data_Lu2MgAs
_cell_length_a 10.113
_cell_length_b 10.113
_cell_length_c 10.113
_cell_angle_alpha 21.33
_cell_angle_beta 21.33
_cell_angle_gamma 21.33
_space_group_name_H-M_alt 'P 1'
_space_group_IT_number 1
loop_
_space_group_symop_operation_xyz
'x,y,z'
loop_
_atom_site_label
_atom_site_fract_x
_atom_site_fract_y
_atom_site_fract_z
Lu1 0.109 0.109 0.109
Lu2 0.891 0.891 0.891
Mg1 0.000 0.000 0.000
As1 0.500 0.500 0.500
# Calculated density in g cm⁻³: 6.22
# Final energy in eV per atom: -4.1364


Record 6
# PaBeN2 PBE relaxed
data_PaBeN2
_cell_length_a 5.502
_cell_length_b 5.502
_cell_length_c 5.502
_cell_angle_alpha 39.33
_cell_angle_beta 39.33
_cell_angle_gamma 39.33
_space_group_name_H-M_alt 'P 1'
_space_group_IT_number 1
loop_
_space_group_symop_operation_xyz
'x,y,z'
loop_
_atom_site_label
_atom_site_fract_x
_atom_site_fract_y
_atom_site_fract_z
Pa1 0.000 0.000 0.000
Be1 0.500 0.500 0.500
N1 0.398 0.398 0.398
N2 0.602 0.602 0.602
# Raw formation energy in eV per atom: -1.150
# Calculated density in g cm⁻³: 7.39
# Final energy in eV per atom: -8.6186